[1]
Density functional theory data (GGA-PBE) for an optimized crystal structure of PrHoGe2.

```
data_PrHoGe2
_cell_length_a 4.8253
_cell_length_b 4.8253
_cell_length_c 4.1037
_cell_angle_alpha 90.00
_cell_angle_beta 90.00
_cell_angle_gamma 90.00
_symmetry_space_group_name_H-M 'P 4/m m m'
_symmetry_Int_Tables_number 123
_symmetry_space_group_name_Hall '-P 4 2'
loop_
_atom_site_label
_atom_site_type_symbol
_atom_site_fract_x
_atom_site_fract_y
_atom_site_fract_z
Pr1 Pr 0.0000 0.0000 0.0000
Ho1 Ho 0.5000 0.5000 0.0000
Ge1 Ge 0.0000 0.5000 0.5000
```

Summary:
The total magnetization comes out at 0.0 μB per cell. The uncorrected energy comes out at -5.26 eV/atom. The calculation puts the relative energy among the computed polymorphs at 220.4 meV per atom. Its formation energy is -608 meV per atom. For the theoretical density, the calculation gives 7.84 Mg/m³.

=====

[2]
Density functional theory data (GGA-PBE) for an optimized crystal structure of PrHoGePt.

```
data_PrHoGePt
_cell_length_a 4.2856
_cell_length_b 4.0312
_cell_length_c 11.1653
_cell_angle_alpha 90.00
_cell_angle_beta 90.00
_cell_angle_gamma 90.00
_symmetry_space_group_name_H-M 'A m m 2'
_symmetry_Int_Tables_number 38
_symmetry_space_group_name_Hall 'A 2 -2'
loop_
_atom_site_label
_atom_site_type_symbol
_atom_site_fract_x
_atom_site_fract_y
_atom_site_fract_z
Pr1 Pr 0.0000 0.0000 0.0000
Ho1 Ho 0.5000 0.0000 0.2768
Ge1 Ge 0.5000 0.0000 0.5684
Pt1 Pt 0.0000 0.0000 0.7283
```

Summary:
The total magnetization comes out at 0.0 μB per cell. The uncorrected energy comes out at -6.02 eV/atom. The calculation puts the relative energy among the computed polymorphs at 0.0 meV per atom. Its formation energy is -1013 meV per atom. For the theoretical density, the calculation gives 9.88 Mg/m³.

=====

[3]
Density functional theory data (GGA-PBE) for an optimized crystal structure of PrHoGe2Pt5.

```
data_PrHoGe2Pt5
_cell_length_a 4.3335
_cell_length_b 4.3335
_cell_length_c 9.0183
_cell_angle_alpha 90.00
_cell_angle_beta 90.00
_cell_angle_gamma 90.00
_symmetry_space_group_name_H-M 'P 4/m m m'
_symmetry_Int_Tables_number 123
_symmetry_space_group_name_Hall '-P 4 2'
loop_
_atom_site_label
_atom_site_type_symbol
_atom_site_fract_x
_atom_site_fract_y
_atom_site_fract_z
Pr1 Pr 0.0000 0.0000 0.0000
Ho1 Ho 0.0000 0.0000 0.5000
Ge1 Ge 0.5000 0.5000 0.3654
Pt1 Pt 0.0000 0.5000 0.2344
Pt2 Pt 0.5000 0.5000 0.0000
```

Summary:
The total magnetization comes out at 0.0 μB per cell. The uncorrected energy comes out at -6.28 eV/atom. Its formation energy is -861 meV per atom. For the theoretical density, the calculation gives 13.99 Mg/m³.

=====

[4]
Density functional theory data (GGA-PBE) for an optimized crystal structure of PrHoGePt.

```
data_PrHoGePt
_cell_length_a 7.2185
_cell_length_b 7.2185
_cell_length_c 7.2185
_cell_angle_alpha 90.00
_cell_angle_beta 90.00
_cell_angle_gamma 90.00
_symmetry_space_group_name_H-M 'F -4 3 m'
_symmetry_Int_Tables_number 216
_symmetry_space_group_name_Hall 'F -4 2 3'
loop_
_atom_site_label
_atom_site_type_symbol
_atom_site_fract_x
_atom_site_fract_y
_atom_site_fract_z
Pr1 Pr 0.0000 0.0000 0.0000
Ho1 Ho 0.0000 0.0000 0.5000
Ge1 Ge 0.2500 0.2500 0.2500
Pt1 Pt 0.2500 0.2500 0.7500
```

Summary:
The total magnetization comes out at 0.0 μB per cell. The uncorrected energy comes out at -5.86 eV/atom. The calculation puts the relative energy among the computed polymorphs at 155.2 meV per atom. Its formation energy is -858 meV per atom. For the theoretical density, the calculation gives 10.13 Mg/m³.

=====

[5]
Density functional theory data (GGA-PBE) for an optimized crystal structure of Pr2HoGe3Pt4.

```
data_Pr2HoGe3Pt4
_cell_length_a 4.3499
_cell_length_b 4.3499
_cell_length_c 11.0706
_cell_angle_alpha 90.00
_cell_angle_beta 90.00
_cell_angle_gamma 90.00
_symmetry_space_group_name_H-M 'P -4 m 2'
_symmetry_Int_Tables_number 115
_symmetry_space_group_name_Hall 'P -4 -2'
loop_
_atom_site_label
_atom_site_type_symbol
_atom_site_fract_x
_atom_site_fract_y
_atom_site_fract_z
Pr1 Pr 0.0000 0.5000 0.2241
Ho1 Ho 0.0000 0.0000 0.5000
Ge1 Ge 0.0000 0.5000 0.8782
Ge2 Ge 0.5000 0.5000 0.5000
Pt1 Pt 0.0000 0.0000 0.0000
Pt2 Pt 0.0000 0.5000 0.6546
Pt3 Pt 0.5000 0.5000 0.0000
```

Summary:
The total magnetization comes out at 0.0 μB per cell. The uncorrected energy comes out at -6.19 eV/atom. Its formation energy is -972 meV per atom. For the theoretical density, the calculation gives 11.46 Mg/m³.

=====

[6]
Density functional theory data (GGA-PBE) for an optimized crystal structure of Pr2HoGe3Rh4.

```
data_Pr2HoGe3Rh4
_cell_length_a 4.2075
_cell_length_b 4.2075
_cell_length_c 11.1886
_cell_angle_alpha 90.00
_cell_angle_beta 90.00
_cell_angle_gamma 90.00
_symmetry_space_group_name_H-M 'P -4 m 2'
_symmetry_Int_Tables_number 115
_symmetry_space_group_name_Hall 'P -4 -2'
loop_
_atom_site_label
_atom_site_type_symbol
_atom_site_fract_x
_atom_site_fract_y
_atom_site_fract_z
Pr1 Pr 0.0000 0.5000 0.2310
Ho1 Ho 0.0000 0.0000 0.5000
Ge1 Ge 0.0000 0.5000 0.8789
Ge2 Ge 0.5000 0.5000 0.5000
Rh1 Rh 0.0000 0.0000 0.0000
Rh2 Rh 0.0000 0.5000 0.6565
Rh3 Rh 0.5000 0.5000 0.0000
```

Summary:
The total magnetization comes out at 0.0 μB per cell. The uncorrected energy comes out at -6.62 eV/atom. Its formation energy is -881 meV per atom. For the theoretical density, the calculation gives 9.02 Mg/m³.